(1)
# ThMn2Br8 | Alexandria via LeMat-Bulk | GGA-PBE | relaxed
data_ThMn2Br8
_cell_length_a 14.818
_cell_length_b 8.755
_cell_length_c 6.877
_cell_angle_alpha 90.00
_cell_angle_beta 94.35
_cell_angle_gamma 90.00
_symmetry_space_group_name_H-M 'C 1 2/m 1'
_symmetry_Int_Tables_number 12
loop_
_symmetry_equiv_pos_as_xyz
'x,y,z'
'-x,-y,-z'
'-x,y,-z'
'x,-y,z'
'x+1/2,y+1/2,z'
'-x+1/2,-y+1/2,-z'
'-x+1/2,y+1/2,-z'
'x+1/2,-y+1/2,z'
loop_
_atom_site_label
_atom_site_fract_x
_atom_site_fract_y
_atom_site_fract_z
_atom_site_occupancy
Th1 0.000 0.000 0.000 1
Mn1 0.179 0.000 0.634 1
Br1 0.085 0.220 0.764 1
Br2 0.161 0.000 0.259 1
Br3 0.164 0.500 0.274 1
# - DOS at the Fermi energy: 0.000 states/eV/f.u.
# - Size of the total moment: 0.909 μB/atom
# - Uncorrected formation energy: -1.1369 eV per atom
# - Electronic total energy: -4.70 eV per atom

(2)
# PmBi2Pd8 | Alexandria via LeMat-Bulk | GGA-PBE | relaxed
data_PmBi2Pd8
_cell_length_a 7.907
_cell_length_b 13.304
_cell_length_c 5.186
_cell_angle_alpha 90.00
_cell_angle_beta 129.20
_cell_angle_gamma 90.00
_symmetry_space_group_name_H-M 'C 1 2/m 1'
_symmetry_Int_Tables_number 12
loop_
_symmetry_equiv_pos_as_xyz
'x,y,z'
'-x,-y,-z'
'-x,y,-z'
'x,-y,z'
'x+1/2,y+1/2,z'
'-x+1/2,-y+1/2,-z'
'-x+1/2,y+1/2,-z'
'x+1/2,-y+1/2,z'
loop_
_atom_site_label
_atom_site_fract_x
_atom_site_fract_y
_atom_site_fract_z
_atom_site_occupancy
Pm1 0.000 0.000 0.000 1
Bi1 0.000 0.310 0.500 1
Pd1 0.000 0.217 0.000 1
Pd2 0.058 0.500 0.803 1
Pd3 0.213 0.117 0.641 1
# - DOS at the Fermi energy: 6.113 states/eV/f.u.
# - Size of the total moment: 0.000 μB/atom
# - Formation energy from the elements: -3.5 eV/f.u.
# - Electronic total energy: -5.24 eV per atom

(3)
# HoU2Se4 | Alexandria via LeMat-Bulk | GGA-PBE | relaxed
data_HoU2Se4
_cell_length_a 3.874
_cell_length_b 13.432
_cell_length_c 14.073
_cell_angle_alpha 90.00
_cell_angle_beta 90.00
_cell_angle_gamma 90.00
_symmetry_space_group_name_H-M 'C m c m'
_symmetry_Int_Tables_number 63
_symmetry_space_group_name_Hall '-C 2c 2'
loop_
_atom_site_label
_atom_site_fract_x
_atom_site_fract_y
_atom_site_fract_z
_atom_site_occupancy
Ho1 0.000 0.115 0.250 1
U1 0.000 0.360 0.066 1
Se1 0.000 0.000 0.000 1
Se2 0.000 0.286 0.629 1
Se3 0.000 0.458 0.250 1
# - DOS at the Fermi energy: 11.676 states/eV/f.u.
# - Size of the total moment: 0.906 μB/atom
# - Uncorrected formation energy: -1.2586 eV per atom
# - Electronic total energy: -7.13 eV per atom

(4)
# ZrAlSi2 | Alexandria via LeMat-Bulk | GGA-PBE | relaxed
data_ZrAlSi2
_cell_length_a 4.557
_cell_length_b 4.404
_cell_length_c 7.123
_cell_angle_alpha 90.00
_cell_angle_beta 90.00
_cell_angle_gamma 90.00
_symmetry_space_group_name_H-M 'P m m a'
_symmetry_Int_Tables_number 51
loop_
_symmetry_equiv_pos_as_xyz
'x,y,z'
'-x,-y,-z'
'-x+1/2,-y,z'
'x+1/2,y,-z'
'x+1/2,-y,-z'
'-x+1/2,y,z'
'-x,y,-z'
'x,-y,z'
loop_
_atom_site_label
_atom_site_fract_x
_atom_site_fract_y
_atom_site_fract_z
_atom_site_occupancy
Zr1 0.250 0.000 0.159 1
Al1 0.250 0.500 0.854 1
Si1 0.000 0.000 0.500 1
Si2 0.250 0.500 0.396 1
# - DOS at the Fermi energy: 1.318 states/eV/f.u.
# - Size of the total moment: 0.000 μB/atom
# - Uncorrected formation energy: 0.0009 eV per atom
# - Electronic total energy: -5.78 eV per atom